[1]
Computed, not measured: crystalline Tb3SmAu2 at its relaxed geometry at the PBE level of DFT.

Properties
Formation energy   -2.64 eV/f.u.

a = 7.115 Å, b = 7.346 Å, c = 8.661 Å
α = 115.09°, β = 114.25°, γ = 90.00°
Fractional coordinates of all 12 atoms:
Tb1 0.500 0.250 0.000
Tb2 0.500 0.750 0.000
Tb3 0.766 0.016 0.532
Tb4 0.234 0.484 0.468
Tb5 0.234 0.984 0.468
Tb6 0.766 0.516 0.532
Sm1 0.000 0.500 0.000
Sm2 0.000 0.000 0.000
Au1 0.561 0.357 0.715
Au2 0.846 0.143 0.285
Au3 0.154 0.857 0.715
Au4 0.439 0.643 0.285

***

[2]
Computed, not measured: crystalline TbSmAu3 at its relaxed geometry at the PBE level of DFT.

Properties
Formation energy   -3.88 eV/f.u.

a = 6.392 Å, b = 7.673 Å, c = 9.505 Å
α = 92.92°, β = 90.00°, γ = 90.00°
Fractional coordinates of all 20 atoms:
Tb1 0.671 0.321 0.076
Tb2 0.329 0.679 0.924
Tb3 0.171 0.179 0.924
Tb4 0.829 0.821 0.076
Sm1 0.151 0.807 0.398
Sm2 0.849 0.193 0.602
Sm3 0.651 0.693 0.602
Sm4 0.349 0.307 0.398
Au1 0.886 0.516 0.864
Au2 0.114 0.484 0.136
Au3 0.386 0.984 0.136
Au4 0.614 0.016 0.864
Au5 0.509 0.629 0.240
Au6 0.491 0.371 0.760
Au7 0.009 0.871 0.760
Au8 0.991 0.129 0.240
Au9 0.850 0.462 0.380
Au10 0.150 0.538 0.620
Au11 0.350 0.038 0.620
Au12 0.650 0.962 0.380

***

[3]
Computed, not measured: crystalline TbSm3Au3 at its relaxed geometry at the PBE level of DFT.

Properties
Formation energy   -4.30 eV/f.u.

a = 7.278 Å, b = 7.278 Å, c = 7.309 Å
α = 90.88°, β = 90.88°, γ = 96.60°
Fractional coordinates of all 14 atoms:
Tb1 0.745 0.745 0.870
Tb2 0.255 0.255 0.130
Sm1 0.645 0.645 0.364
Sm2 0.178 0.822 0.500
Sm3 0.822 0.178 0.500
Sm4 0.256 0.744 0.000
Sm5 0.744 0.256 0.000
Sm6 0.355 0.355 0.636
Au1 0.933 0.933 0.188
Au2 0.986 0.498 0.725
Au3 0.498 0.986 0.725
Au4 0.014 0.502 0.275
Au5 0.502 0.014 0.275
Au6 0.067 0.067 0.812

***

[4]
Computed, not measured: crystalline TbSm4Au2 at its relaxed geometry at the PBE level of DFT.

Properties
Formation energy   -1.50 eV/f.u.

a = 5.111 Å, b = 5.111 Å, c = 10.213 Å
α = 75.51°, β = 75.51°, γ = 60.00°
Fractional coordinates of all 7 atoms:
Tb1 0.500 0.500 0.500
Sm1 0.704 0.704 0.887
Sm2 0.892 0.892 0.323
Sm3 0.296 0.296 0.113
Sm4 0.108 0.108 0.677
Au1 0.601 0.601 0.196
Au2 0.399 0.399 0.804

***

no.,theoretical density (Mg/m³)
1,9.28
2,12.84
3,10.37
4,8.67